Computed, not measured: a geometry-optimized LiTmNi structure at the GGA-PBE level of DFT.

a = 7.017 Å, b = 3.738 Å, c = 12.245 Å
α = 90.00°, β = 91.02°, γ = 90.00°
Atoms (fractional coordinates):
Li  0.012  0.250  0.079
Li  0.127  0.750  0.537
Li  0.374  0.250  0.199
Li  0.626  0.750  0.801
Li  0.873  0.250  0.463
Li  0.988  0.750  0.921
Tm  0.054  0.750  0.284
Tm  0.344  0.250  0.915
Tm  0.452  0.250  0.622
Tm  0.548  0.750  0.378
Tm  0.656  0.750  0.085
Tm  0.946  0.250  0.716
Ni  0.242  0.750  0.750
Ni  0.258  0.250  0.412
Ni  0.259  0.750  0.076
Ni  0.741  0.250  0.924
Ni  0.742  0.750  0.588
Ni  0.758  0.250  0.250

Output
The calculation puts the energy above the most stable polymorph in this dataset at 0.00 eV/f.u. As for the formation energy: -0.2327 eV/atom.